--- a ---
The following is a PBE-GGA calculation of a relaxed NaSb2IBr crystal, from Alexandria via LeMat-Bulk.

Results
Its volume is 46.3 Å³/atom. Its space group is No. 123.

Geometry as CIF:
```
data_NaSb2IBr
_space_group_name_H-M_alt 'P 1'
_space_group_IT_number 1
_cell_length_a 5.474
_cell_length_b 5.474
_cell_length_c 7.721
_cell_angle_alpha 90.00
_cell_angle_beta 90.00
_cell_angle_gamma 90.00
loop_
_space_group_symop_operation_xyz
'x,y,z'
loop_
_atom_site_label
_atom_site_fract_x
_atom_site_fract_y
_atom_site_fract_z
I1 0.000 0.000 0.500
Sb1 0.000 0.500 0.000
Sb2 0.500 0.000 0.000
Br1 0.000 0.000 0.000
Na1 0.500 0.500 0.500
```

---

--- b ---
The following is a PBE-GGA calculation of a relaxed NaSb2IBr crystal, from Alexandria via LeMat-Bulk.

Results
Its volume is 35.1 Å³/atom. Its space group is No. 123.

Geometry as CIF:
```
data_NaSb2IBr
_space_group_name_H-M_alt 'P 1'
_space_group_IT_number 1
_cell_length_a 5.620
_cell_length_b 5.620
_cell_length_c 5.552
_cell_angle_alpha 90.00
_cell_angle_beta 90.00
_cell_angle_gamma 90.00
loop_
_space_group_symop_operation_xyz
'x,y,z'
loop_
_atom_site_label
_atom_site_fract_x
_atom_site_fract_y
_atom_site_fract_z
I1 0.000 0.000 0.500
Sb1 0.000 0.500 0.000
Sb2 0.500 0.000 0.000
Br1 0.500 0.500 0.500
Na1 0.000 0.000 0.000
```

---

It is a that is most stable; the runner-up trails by 0.176 eV/atom.